Density functional theory data (PBE) for a relaxed structure of V3Ga2.

symmetry	P4_132
final energy	-135.91	eV for the cell shown
DFT formation energy	-0.11	eV/atom

Lattice parameters (Å, degrees): 6.538 6.538 6.538 90.00 90.00 90.00
Element x y z (fractional)
V 0.041 0.125 0.791
V 0.125 0.791 0.041
V 0.209 0.541 0.375
V 0.291 0.459 0.875
V 0.375 0.209 0.541
V 0.459 0.875 0.291
V 0.541 0.375 0.209
V 0.625 0.709 0.959
V 0.709 0.959 0.625
V 0.791 0.041 0.125
V 0.875 0.291 0.459
V 0.959 0.625 0.709
Ga 0.064 0.936 0.436
Ga 0.186 0.186 0.186
Ga 0.314 0.814 0.686
Ga 0.436 0.064 0.936
Ga 0.564 0.564 0.564
Ga 0.686 0.314 0.814
Ga 0.814 0.686 0.314
Ga 0.936 0.436 0.064

Density functional theory data (PBE) for a relaxed structure of AlFePb2.

symmetry	P4/mmm
final energy	-17.55	eV for the cell shown
DFT formation energy	0.52	eV/atom

Lattice parameters (Å, degrees): 3.660 3.660 6.691 90.00 90.00 90.00
Element x y z (fractional)
Al 0.000 0.000 0.000
Fe 0.000 0.000 0.500
Pb 0.500 0.500 0.265
Pb 0.500 0.500 0.735